Entry A
Compound: Ti2CdSn2
Source: Alexandria
Functional: PBE-GGA
Structure: relaxed

Output
crystal system: tetragonal
volume: 105 Å³/f.u.

Unit cell a=7.7031 b=7.7031 c=3.5442 alpha=90.00 beta=90.00 gamma=90.00
With the nearest neighbours (Å) after each atom.
Fractional positions:
Ti 0.1498 0.3502 0.0000  6 Sn 2.84-2.89
Ti 0.3502 0.8502 0.0000  6 Sn 2.84-2.89
Ti 0.6498 0.1498 0.0000  6 Sn 2.84-2.89
Ti 0.8502 0.6498 0.0000  6 Sn 2.84-2.89
Cd 0.0000 0.0000 0.5000  4 Sn 2.95
Cd 0.5000 0.5000 0.5000  4 Sn 2.95
Sn 0.1463 0.6463 0.5000  6 Ti 2.84-2.89, 2 Cd 2.95
Sn 0.3537 0.1463 0.5000  6 Ti 2.84-2.89, 2 Cd 2.95
Sn 0.6463 0.8537 0.5000  6 Ti 2.84-2.89, 2 Cd 2.95
Sn 0.8537 0.3537 0.5000  6 Ti 2.84-2.89, 2 Cd 2.95

=====

Entry B
Compound: Ti2CdSn2
Source: Alexandria
Functional: PBE-GGA
Structure: relaxed

Output
crystal system: tetragonal
volume: 106 Å³/f.u.

Unit cell a=7.4343 b=7.4343 c=3.8252 alpha=90.00 beta=90.00 gamma=90.00
With the nearest neighbours (Å) after each atom.
Fractional positions:
Ti 0.1289 0.3711 0.0000  1 Ti 2.71, 6 Sn 2.85-2.95, 2 Cd 2.92
Ti 0.3711 0.8711 0.0000  1 Ti 2.71, 6 Sn 2.85-2.95, 2 Cd 2.92
Ti 0.6289 0.1289 0.0000  1 Ti 2.71, 6 Sn 2.85-2.95, 2 Cd 2.92
Ti 0.8711 0.6289 0.0000  1 Ti 2.71, 6 Sn 2.85-2.95, 2 Cd 2.92
Cd 0.0000 0.0000 0.0000  4 Ti 2.92
Cd 0.5000 0.5000 0.0000  4 Ti 2.92
Sn 0.1708 0.6708 0.5000  6 Ti 2.85-2.95
Sn 0.3292 0.1708 0.5000  6 Ti 2.85-2.95
Sn 0.6708 0.8292 0.5000  6 Ti 2.85-2.95
Sn 0.8292 0.3292 0.5000  6 Ti 2.85-2.95

=====

Name the least stable of them. entry A.

=====

Entry A
Compound: Tl2Cd5Sn3
Source: Alexandria
Functional: PBE-GGA
Structure: relaxed

Output
crystal system: tetragonal
volume: 286 Å³/f.u.

Unit cell a=4.6161 b=4.6161 c=13.4144 alpha=90.00 beta=90.00 gamma=90.00
With the nearest neighbours (Å) after each atom.
Fractional positions:
Tl 0.0000 0.5000 0.2245  8 Cd 3.46-3.79, 4 Sn 3.71
Tl 0.5000 0.0000 0.7755  8 Cd 3.46-3.79, 4 Sn 3.71
Cd 0.0000 0.0000 0.0000  8 Cd 2.96-3.26
Cd 0.0000 0.0000 0.5000  8 Sn 3.02-3.26
Cd 0.0000 0.5000 0.8613  1 Sn 2.90, 4 Cd 2.96
Cd 0.5000 0.0000 0.1387  1 Sn 2.90, 4 Cd 2.96
Cd 0.5000 0.5000 0.0000  8 Cd 2.96-3.26
Sn 0.0000 0.5000 0.6448  3 Cd 2.90-3.02, 2 Sn 3.02
Sn 0.5000 0.0000 0.3552  3 Cd 2.90-3.02, 2 Sn 3.02
Sn 0.5000 0.5000 0.5000  4 Sn 3.02, 4 Cd 3.26

=====

Entry B
Compound: Tl2Cd5Sn3
Source: Alexandria
Functional: PBE-GGA
Structure: relaxed

Output
crystal system: orthorhombic
volume: 282 Å³/f.u.

Unit cell a=9.8691 b=9.8691 c=9.8691 alpha=96.63 beta=95.74 gamma=141.67
With the nearest neighbours (Å) after each atom.
Fractional positions:
Tl 0.2450 0.1239 0.3688  4 Sn 3.53-3.60, 4 Cd 3.54-3.57
Tl 0.2550 0.6239 0.8789  4 Sn 3.53-3.60, 4 Cd 3.54-3.57
Tl 0.7450 0.3761 0.1211  4 Sn 3.53-3.60, 4 Cd 3.54-3.57
Tl 0.7550 0.8761 0.6312  4 Sn 3.53-3.60, 4 Cd 3.54-3.57
Cd 0.1466 0.3748 0.5214  3 Sn 2.84-3.02, 2 Cd 2.97
Cd 0.2500 0.2500 0.0000  4 Sn 2.98, 2 Cd 3.24
Cd 0.2500 0.5061 0.2561  3 Sn 2.96-3.20, 4 Cd 2.97-3.24
Cd 0.2500 0.9939 0.7439  3 Sn 2.96-3.20, 4 Cd 2.97-3.24
Cd 0.3534 0.8748 0.2282  3 Sn 2.84-3.02, 2 Cd 2.97
Cd 0.6466 0.1252 0.7718  3 Sn 2.84-3.02, 2 Cd 2.97
Cd 0.7500 0.0061 0.2561  3 Sn 2.96-3.20, 4 Cd 2.97-3.24
Cd 0.7500 0.4939 0.7439  3 Sn 2.96-3.20, 4 Cd 2.97-3.24
Cd 0.7500 0.7500 0.0000  4 Sn 2.98, 2 Cd 3.24
Cd 0.8534 0.6252 0.4786  3 Sn 2.84-3.02, 2 Cd 2.97
Sn 0.1390 0.8710 0.0100  5 Cd 2.84-2.98
Sn 0.2500 0.7500 0.5000  6 Cd 3.02-3.20, 2 Sn 3.24
Sn 0.3610 0.3710 0.7320  5 Cd 2.84-2.98
Sn 0.6390 0.6290 0.2680  5 Cd 2.84-2.98
Sn 0.7500 0.2500 0.5000  6 Cd 3.02-3.20, 2 Sn 3.24
Sn 0.8610 0.1290 0.9900  5 Cd 2.84-2.98

=====

Name the least stable of them. entry A.

=====

Entry A
Compound: TlCd2Sn
Source: Alexandria
Functional: PBE-GGA
Structure: relaxed

Output
crystal system: tetragonal
volume: 105 Å³/f.u.

Unit cell a=4.7860 b=4.7860 c=4.5806 alpha=90.00 beta=90.00 gamma=90.00
With the nearest neighbours (Å) after each atom.
Fractional positions:
Tl 0.0000 0.0000 0.0000  8 Cd 3.31, 4 Sn 3.38
Cd 0.0000 0.5000 0.5000  4 Tl 3.31, 4 Sn 3.31, 4 Cd 3.38
Cd 0.5000 0.0000 0.5000  4 Tl 3.31, 4 Sn 3.31, 4 Cd 3.38
Sn 0.5000 0.5000 0.0000  8 Cd 3.31, 4 Tl 3.38

=====

Entry B
Compound: TlCd2Sn
Source: Alexandria
Functional: PBE-GGA
Structure: relaxed

Output
crystal system: monoclinic
volume: 111 Å³/f.u.

Unit cell a=11.8719 b=5.1112 c=7.2915 alpha=90.00 beta=90.89 gamma=90.00
With the nearest neighbours (Å) after each atom.
Fractional positions:
Tl 0.0000 0.0000 0.0000  7 Cd 3.35-3.62, 2 Sn 3.73
Tl 0.1608 0.0000 0.4880  2 Cd 3.33, 5 Sn 3.37-3.62
Tl 0.5000 0.5000 0.0000  7 Cd 3.35-3.62, 2 Sn 3.73
Tl 0.6608 0.5000 0.4880  2 Cd 3.33, 5 Sn 3.37-3.62
Cd 0.2005 0.5000 0.7736  3 Cd 2.96-3.19, 2 Sn 2.97-2.99
Cd 0.2835 0.0000 0.9999  4 Cd 2.94-3.19, 2 Sn 3.06
Cd 0.4538 0.0000 0.7107  3 Cd 2.94-3.02, 2 Sn 3.15
Cd 0.4631 0.0000 0.2973  3 Sn 2.95-3.10, 2 Cd 3.02
Cd 0.7005 0.0000 0.7736  3 Cd 2.96-3.19, 2 Sn 2.97-2.99
Cd 0.7835 0.5000 0.9999  4 Cd 2.94-3.19, 2 Sn 3.06
Cd 0.9538 0.5000 0.7107  3 Cd 2.94-3.02, 2 Sn 3.15
Cd 0.9631 0.5000 0.2973  3 Sn 2.95-3.10, 2 Cd 3.02
Sn 0.2010 0.5000 0.1843  4 Cd 2.95-3.06, 1 Sn 3.03
Sn 0.3772 0.5000 0.4897  5 Cd 2.97-3.15, 1 Sn 3.03
Sn 0.7010 0.0000 0.1843  4 Cd 2.95-3.06, 1 Sn 3.03
Sn 0.8772 0.0000 0.4897  5 Cd 2.97-3.15, 1 Sn 3.03

=====

Entry C
Compound: TlCd2Sn
Source: Alexandria
Functional: PBE-GGA
Structure: relaxed

Output
crystal system: tetragonal
volume: 110 Å³/f.u.

Unit cell a=4.4421 b=4.4421 c=22.3737 alpha=90.00 beta=90.00 gamma=90.00
With the nearest neighbours (Å) after each atom.
Fractional positions:
Tl 0.0000 0.0000 0.0000  4 Sn 3.14, 4 Cd 3.21
Tl 0.0000 0.5000 0.2500  4 Sn 3.14, 4 Cd 3.21
Tl 0.5000 0.0000 0.7500  4 Sn 3.14, 4 Cd 3.21
Tl 0.5000 0.5000 0.5000  4 Sn 3.14, 4 Cd 3.21
Cd 0.2453 0.2500 0.6250  4 Cd 3.11-3.17, 2 Sn 3.20, 2 Tl 3.21
Cd 0.2500 0.7453 0.8750  4 Cd 3.11-3.17, 2 Sn 3.20, 2 Tl 3.21
Cd 0.2500 0.7547 0.3750  4 Cd 3.11-3.17, 2 Sn 3.20, 2 Tl 3.21
Cd 0.2547 0.2500 0.1250  4 Cd 3.11-3.17, 2 Sn 3.20, 2 Tl 3.21
Cd 0.7453 0.7500 0.1250  4 Cd 3.11-3.17, 2 Sn 3.20, 2 Tl 3.21
Cd 0.7500 0.2453 0.3750  4 Cd 3.11-3.17, 2 Sn 3.20, 2 Tl 3.21
Cd 0.7500 0.2547 0.8750  4 Cd 3.11-3.17, 2 Sn 3.20, 2 Tl 3.21
Cd 0.7547 0.7500 0.6250  4 Cd 3.11-3.17, 2 Sn 3.20, 2 Tl 3.21
Sn 0.0000 0.0000 0.5000  4 Tl 3.14, 4 Cd 3.20
Sn 0.0000 0.5000 0.7500  4 Tl 3.14, 4 Cd 3.20
Sn 0.5000 0.0000 0.2500  4 Tl 3.14, 4 Cd 3.20
Sn 0.5000 0.5000 0.0000  4 Tl 3.14, 4 Cd 3.20

=====

Entry D
Compound: TlCd2Sn
Source: Alexandria
Functional: PBE-GGA
Structure: relaxed

Output
crystal system: cubic
volume: 106 Å³/f.u.

Unit cell a=7.5175 b=7.5175 c=7.5175 alpha=90.00 beta=90.00 gamma=90.00
With the nearest neighbours (Å) after each atom.
Fractional positions:
Tl 0.0000 0.0000 0.0000  8 Cd 3.26
Tl 0.0000 0.5000 0.5000  8 Cd 3.26
Tl 0.5000 0.0000 0.5000  8 Cd 3.26
Tl 0.5000 0.5000 0.0000  8 Cd 3.26
Cd 0.2500 0.2500 0.2500  4 Tl 3.26, 4 Sn 3.26
Cd 0.2500 0.2500 0.7500  4 Tl 3.26, 4 Sn 3.26
Cd 0.2500 0.7500 0.2500  4 Tl 3.26, 4 Sn 3.26
Cd 0.2500 0.7500 0.7500  4 Tl 3.26, 4 Sn 3.26
Cd 0.7500 0.2500 0.2500  4 Tl 3.26, 4 Sn 3.26
Cd 0.7500 0.2500 0.7500  4 Tl 3.26, 4 Sn 3.26
Cd 0.7500 0.7500 0.2500  4 Tl 3.26, 4 Sn 3.26
Cd 0.7500 0.7500 0.7500  4 Tl 3.26, 4 Sn 3.26
Sn 0.0000 0.0000 0.5000  8 Cd 3.26
Sn 0.0000 0.5000 0.0000  8 Cd 3.26
Sn 0.5000 0.0000 0.0000  8 Cd 3.26
Sn 0.5000 0.5000 0.5000  8 Cd 3.26

=====

Name the least stable of them. entry C.

=====

Entry A
Compound: TlCd2Sn
Source: Alexandria
Functional: PBE-GGA
Structure: relaxed

Output
crystal system: trigonal
volume: 108 Å³/f.u.

Unit cell a=3.5698 b=3.5698 c=29.2719 alpha=90.00 beta=90.00 gamma=120.00
With the nearest neighbours (Å) after each atom.
Fractional positions:
Tl 0.0000 0.0000 0.0000  6 Cd 3.22-3.23, 6 Tl 3.57
Tl 0.3333 0.6667 0.6667  6 Cd 3.22-3.23, 6 Tl 3.57
Tl 0.6667 0.3333 0.3333  6 Cd 3.22-3.23, 6 Tl 3.57
Cd 0.0000 0.0000 0.4184  3 Sn 3.16, 3 Tl 3.23
Cd 0.0000 0.0000 0.5820  3 Sn 3.16, 3 Tl 3.22
Cd 0.3333 0.6667 0.0851  3 Sn 3.16, 3 Tl 3.23
Cd 0.3333 0.6667 0.2486  3 Sn 3.16, 3 Tl 3.22
Cd 0.6667 0.3333 0.7517  3 Sn 3.16, 3 Tl 3.23
Cd 0.6667 0.3333 0.9153  3 Sn 3.16, 3 Tl 3.22
Sn 0.0000 0.0000 0.8336  6 Cd 3.16
Sn 0.3333 0.6667 0.5003  6 Cd 3.16
Sn 0.6667 0.3333 0.1670  6 Cd 3.16

=====

Entry B
Compound: TlCd2Sn
Source: Alexandria
Functional: PBE-GGA
Structure: relaxed

Output
crystal system: orthorhombic
volume: 110 Å³/f.u.

Unit cell a=4.9169 b=12.2027 c=7.3462 alpha=90.00 beta=90.00 gamma=90.00
With the nearest neighbours (Å) after each atom.
Fractional positions:
Tl 0.0000 0.0701 0.2500  8 Cd 3.33-3.69, 3 Sn 3.43-3.63
Tl 0.0000 0.9299 0.7500  8 Cd 3.33-3.69, 3 Sn 3.43-3.63
Tl 0.5000 0.4299 0.7500  8 Cd 3.33-3.69, 3 Sn 3.43-3.63
Tl 0.5000 0.5701 0.2500  8 Cd 3.33-3.69, 3 Sn 3.43-3.63
Cd 0.0000 0.3813 0.0450  2 Cd 2.97-3.01, 3 Sn 3.00-3.10
Cd 0.0000 0.3813 0.4550  2 Cd 2.97-3.01, 3 Sn 3.00-3.10
Cd 0.0000 0.6187 0.5450  2 Cd 2.97-3.01, 3 Sn 3.00-3.10
Cd 0.0000 0.6187 0.9550  2 Cd 2.97-3.01, 3 Sn 3.00-3.10
Cd 0.5000 0.1187 0.5450  2 Cd 2.97-3.01, 3 Sn 3.00-3.10
Cd 0.5000 0.1187 0.9550  2 Cd 2.97-3.01, 3 Sn 3.00-3.10
Cd 0.5000 0.8813 0.0450  2 Cd 2.97-3.01, 3 Sn 3.00-3.10
Cd 0.5000 0.8813 0.4550  2 Cd 2.97-3.01, 3 Sn 3.00-3.10
Sn 0.0000 0.2111 0.7500  6 Cd 3.00-3.10
Sn 0.0000 0.7889 0.2500  6 Cd 3.00-3.10
Sn 0.5000 0.2889 0.2500  6 Cd 3.00-3.10
Sn 0.5000 0.7111 0.7500  6 Cd 3.00-3.10

=====

Name the least stable of them. entry A.

=====

Entry A
Compound: Tl2CdSn
Source: Alexandria
Functional: PBE-GGA
Structure: relaxed

Output
crystal system: trigonal
volume: 115 Å³/f.u.

Unit cell a=3.3941 b=3.3941 c=34.4397 alpha=90.00 beta=90.00 gamma=120.00
With the nearest neighbours (Å) after each atom.
Fractional positions:
Tl 0.0000 0.0000 0.0908  1 Sn 3.13, 3 Cd 3.27, 6 Tl 3.39
Tl 0.0000 0.0000 0.9092  1 Sn 3.13, 3 Cd 3.27, 6 Tl 3.39
Tl 0.3333 0.6667 0.5759  1 Sn 3.13, 3 Cd 3.27, 6 Tl 3.39
Tl 0.3333 0.6667 0.7574  1 Sn 3.13, 3 Cd 3.27, 6 Tl 3.39
Tl 0.6667 0.3333 0.2426  1 Sn 3.13, 3 Cd 3.27, 6 Tl 3.39
Tl 0.6667 0.3333 0.4241  1 Sn 3.13, 3 Cd 3.27, 6 Tl 3.39
Cd 0.0000 0.0000 0.5000  6 Tl 3.27, 6 Cd 3.39
Cd 0.3333 0.6667 0.1667  6 Tl 3.27, 6 Cd 3.39
Cd 0.6667 0.3333 0.8333  6 Tl 3.27, 6 Cd 3.39
Sn 0.0000 0.0000 0.0000  2 Tl 3.13, 6 Sn 3.39
Sn 0.3333 0.6667 0.6667  2 Tl 3.13, 6 Sn 3.39
Sn 0.6667 0.3333 0.3333  2 Tl 3.13, 6 Sn 3.39

=====

Entry B
Compound: Tl2CdSn
Source: Alexandria
Functional: PBE-GGA
Structure: relaxed

Output
crystal system: monoclinic
volume: 114 Å³/f.u.

Unit cell a=3.2844 b=5.3707 c=6.6558 alpha=90.00 beta=103.38 gamma=90.00
With the nearest neighbours (Å) after each atom.
Fractional positions:
Tl 0.0000 0.0000 0.0000  4 Tl 3.28-3.66, 3 Sn 3.40-3.50, 4 Cd 3.44-3.45
Tl 0.3406 0.5000 0.7028  4 Tl 3.28-3.66, 3 Cd 3.32-3.57, 4 Sn 3.45-3.50
Cd 0.6049 0.5000 0.2160  2 Sn 3.17, 2 Cd 3.28, 6 Tl 3.32-3.54
Sn 0.7194 0.0000 0.4756  2 Cd 3.17, 2 Sn 3.28, 7 Tl 3.40-3.50

=====

Name the least stable of them. entry A.